# 1
Material: TcHgP
Method: DFT, PBE
State: relaxed

Results
Crystal system: cubic
Energy above the lowest structure with this stoichiometry (meV/atom): 520.9
Total moment (μB per formula unit): 0.0

Cell lengths 4.2025, 4.2025, 4.2025 Å; angles 60.00, 60.00, 60.00 degrees
Last column: nearest neighbours and their distance in Å.
Sites, in units of the cell vectors:
Tc: 0.0000 0.0000 0.0000  4 P 2.57
Hg: 0.5000 0.5000 0.5000  4 P 2.57
P: 0.7500 0.7500 0.7500  4 Hg 2.57, 4 Tc 2.57


# 2
Material: RbLiRuF6
Method: DFT, PBE
State: relaxed

Results
Crystal system: trigonal
Uncorrected formation energy (eV/atom): -2.3158
Total moment (μB per formula unit): 2.0

Cell lengths 5.3820, 5.3820, 6.1514 Å; angles 90.00, 90.00, 120.00 degrees
Last column: nearest neighbours and their distance in Å.
Sites, in units of the cell vectors:
Rb: 0.0000 0.0000 0.0000  6 F 2.81
Li: 0.3333 0.6667 0.5000  6 F 2.09
Ru: 0.6667 0.3333 0.5000  6 F 1.96
F: 0.3801 0.0186 0.6780  1 Ru 1.96, 1 Li 2.09
F: 0.3801 0.3616 0.3220  1 Ru 1.96, 1 Li 2.09
F: 0.6384 0.0186 0.3220  1 Ru 1.96, 1 Li 2.09
F: 0.6384 0.6199 0.6780  1 Ru 1.96, 1 Li 2.09
F: 0.9814 0.3616 0.6780  1 Ru 1.96, 1 Li 2.09
F: 0.9814 0.6199 0.3220  1 Ru 1.96, 1 Li 2.09


# 3
Material: SrLaAl
Method: DFT, PBE
State: relaxed

Results
Crystal system: tetragonal
Energy above the lowest structure with this stoichiometry (meV/atom): 124.4
Total moment (μB per formula unit): 0.0

Cell lengths 5.3179, 5.3179, 8.0262 Å; angles 90.00, 90.00, 90.00 degrees
Last column: nearest neighbours and their distance in Å.
Sites, in units of the cell vectors:
Sr: 0.2500 0.2500 0.1997  4 Al 3.59, 5 La 3.88
Sr: 0.7500 0.7500 0.8003  4 Al 3.59, 5 La 3.88
La: 0.2500 0.2500 0.6831  4 Al 3.04
La: 0.7500 0.7500 0.3169  4 Al 3.04
Al: 0.2500 0.7500 0.5000  4 La 3.04
Al: 0.7500 0.2500 0.5000  4 La 3.04


# 4
Material: PuTlCu
Method: DFT, PBE
State: relaxed

Results
Crystal system: hexagonal
Calculated total energy (eV per atom): -6.8833
Total moment (μB per formula unit): 5.6

Cell lengths 4.8706, 4.8706, 3.2185 Å; angles 90.00, 90.00, 120.00 degrees
Last column: nearest neighbours and their distance in Å.
Sites, in units of the cell vectors:
Pu: 0.0000 0.0000 0.0000  2 Pu 3.22, 6 Cu 3.24, 6 Tl 3.24
Tl: 0.6667 0.3333 0.5000  3 Cu 2.81
Cu: 0.3333 0.6667 0.5000  3 Tl 2.81


# 5
Material: CeTh2ZnN5
Method: DFT, PBE
State: relaxed

Results
Crystal system: orthorhombic
Uncorrected formation energy (eV/atom): -1.0037
Total moment (μB per formula unit): 0.4

Cell lengths 7.1382, 7.1382, 10.7028 Å; angles 90.00, 90.00, 151.24 degrees
Last column: nearest neighbours and their distance in Å.
Sites, in units of the cell vectors:
Ce: 0.1931 0.8069 0.5000  6 N 2.24-2.50
Ce: 0.8069 0.1931 0.0000  6 N 2.24-2.50
Th: 0.1215 0.8785 0.1903  8 N 2.46-2.71
Th: 0.1261 0.8739 0.7975  6 N 2.48-2.65
Th: 0.8739 0.1261 0.2975  6 N 2.48-2.65
Th: 0.8785 0.1215 0.6903  8 N 2.46-2.71
Zn: 0.4970 0.5030 0.9929  4 N 2.05-2.09
Zn: 0.5030 0.4970 0.4929  4 N 2.05-2.09
N: 0.0394 0.9606 0.5767  2 Zn 2.05, 1 Ce 2.28
N: 0.2979 0.7021 0.1638  3 Th 2.46-2.51, 2 Ce 2.50
N: 0.3025 0.6975 0.8475  2 Ce 2.41, 3 Th 2.50-2.66
N: 0.3542 0.6458 0.5250  1 Zn 2.09, 1 Ce 2.24
N: 0.4992 0.5008 0.2975  1 Zn 2.09
N: 0.5008 0.4992 0.7975  1 Zn 2.09
N: 0.6458 0.3542 0.0250  1 Zn 2.09, 1 Ce 2.24
N: 0.6975 0.3025 0.3475  2 Ce 2.41, 3 Th 2.50-2.66
N: 0.7021 0.2979 0.6637  3 Th 2.46-2.51, 2 Ce 2.50
N: 0.9606 0.0394 0.0767  2 Zn 2.05, 1 Ce 2.28


# 6
Material: In2IrPb
Method: DFT, PBE
State: relaxed

Results
Crystal system: orthorhombic
Calculated total energy (eV per atom): -4.4868
Total moment (μB per formula unit): 0.0

Cell lengths 3.1262, 3.3274, 8.9527 Å; angles 90.00, 90.00, 90.00 degrees
Last column: nearest neighbours and their distance in Å.
Sites, in units of the cell vectors:
In: 0.0000 0.0000 0.1869  4 Ir 2.83, 2 In 3.13
In: 0.0000 0.0000 0.8131  4 Ir 2.83, 2 In 3.13
Ir: 0.5000 0.5000 0.0000  8 In 2.83, 2 Ir 3.13
Pb: 0.0000 0.5000 0.5000  4 Pb 3.13-3.33, 4 In 3.26


# 7
Material: CaY2Br
Method: DFT, PBE
State: relaxed

Results
Crystal system: tetragonal
Energy above the lowest structure with this stoichiometry (meV/atom): 249.9
Uncorrected formation energy (eV/atom): -0.2974
Total moment (μB per formula unit): 0.0

Cell lengths 3.5244, 3.5244, 9.9335 Å; angles 90.00, 90.00, 90.00 degrees
Last column: nearest neighbours and their distance in Å.
Sites, in units of the cell vectors:
Ca: 0.0000 0.0000 0.0000  4 Ca 3.52, 8 Y 3.76
Y: 0.5000 0.5000 0.2839  4 Br 3.29, 4 Y 3.52
Y: 0.5000 0.5000 0.7161  4 Br 3.29, 4 Y 3.52
Br: 0.0000 0.0000 0.5000  8 Y 3.29, 4 Br 3.52


# 8
Material: LuSnHg
Method: DFT, PBE
State: relaxed

Results
Crystal system: trigonal
Energy above the lowest structure with this stoichiometry (meV/atom): 0.0
Total moment (μB per formula unit): 0.0

Cell lengths 4.9123, 4.9123, 3.5744 Å; angles 90.00, 90.00, 120.00 degrees
Last column: nearest neighbours and their distance in Å.
Sites, in units of the cell vectors:
Lu: 0.0000 0.0000 0.0000  3 Hg 3.04, 3 Sn 3.23
Sn: 0.6667 0.3333 0.5681  3 Hg 2.99, 3 Lu 3.23
Hg: 0.3333 0.6667 0.3046  3 Sn 2.99, 3 Lu 3.04


# 9
Material: TaFe3Si
Method: DFT, PBE
State: relaxed

Results
Crystal system: orthorhombic
Energy above the lowest structure with this stoichiometry (meV/atom): 0.0
Uncorrected formation energy (eV/atom): -0.1300
Total moment (μB per formula unit): 3.6

Cell lengths 5.8235, 5.8235, 5.8235 Å; angles 132.89, 112.23, 86.62 degrees
Last column: nearest neighbours and their distance in Å.
Sites, in units of the cell vectors:
Ta: 0.2635 0.0135 0.2500  7 Fe 2.54-2.79, 4 Si 2.84
Ta: 0.7365 0.9865 0.7500  7 Fe 2.54-2.79, 4 Si 2.84
Fe: 0.1848 0.0000 0.6848  5 Fe 2.33-2.41, 2 Si 2.45
Fe: 0.1848 0.5000 0.1848  5 Fe 2.33-2.41, 2 Si 2.45
Fe: 0.4370 0.6870 0.7500  2 Si 2.27, 4 Fe 2.41, 1 Ta 2.54
Fe: 0.5630 0.3130 0.2500  2 Si 2.27, 4 Fe 2.41, 1 Ta 2.54
Fe: 0.8152 0.0000 0.3152  5 Fe 2.33-2.41, 2 Si 2.45
Fe: 0.8152 0.5000 0.8152  5 Fe 2.33-2.41, 2 Si 2.45
Si: 0.0000 0.5000 0.5000  6 Fe 2.27-2.45
Si: 0.5000 0.5000 0.0000  6 Fe 2.27-2.45


# 10
Material: Ag2OsRh
Method: DFT, PBE
State: relaxed

Results
Crystal system: orthorhombic
Energy above the lowest structure with this stoichiometry (meV/atom): 149.3
Total moment (μB per formula unit): 0.0

Cell lengths 2.7458, 2.7458, 9.7897 Å; angles 90.00, 90.00, 119.15 degrees
Last column: nearest neighbours and their distance in Å.
Sites, in units of the cell vectors:
Ag: 0.0000 0.0000 0.0000  8 Ag 2.75-2.91, 2 Rh 2.86
Ag: 0.5000 0.5000 0.2608  8 Ag 2.75-2.91, 2 Os 2.89
Os: 0.0000 0.0000 0.5194  2 Rh 2.61, 6 Os 2.75-2.78, 2 Ag 2.89
Rh: 0.5000 0.5000 0.7446  2 Os 2.61, 6 Rh 2.75-2.78, 2 Ag 2.86


# 11
Material: RbGa4F12
Method: DFT, PBE
State: relaxed

Results
Crystal system: cubic
Uncorrected formation energy (eV/atom): -2.5050
Total moment (μB per formula unit): 0.0

Cell lengths 6.8674, 6.8674, 6.8674 Å; angles 109.47, 109.47, 109.47 degrees
Last column: nearest neighbours and their distance in Å.
Sites, in units of the cell vectors:
Rb: 0.0000 0.0000 0.0000  12 F 2.79
Ga: 0.0000 0.0000 0.5000  6 F 1.98
Ga: 0.0000 0.5000 0.0000  6 F 1.98
Ga: 0.5000 0.0000 0.0000  6 F 1.98
Ga: 0.5000 0.5000 0.5000  6 F 1.98
F: 0.0008 0.7512 0.2496  2 Ga 1.98
F: 0.2488 0.2496 0.4984  2 Ga 1.98
F: 0.2488 0.7504 0.9992  2 Ga 1.98
F: 0.2496 0.0008 0.7512  2 Ga 1.98
F: 0.2496 0.4984 0.2488  2 Ga 1.98
F: 0.4984 0.2488 0.2496  2 Ga 1.98
F: 0.5016 0.7512 0.7504  2 Ga 1.98
F: 0.7504 0.5016 0.7512  2 Ga 1.98
F: 0.7504 0.9992 0.2488  2 Ga 1.98
F: 0.7512 0.2496 0.0008  2 Ga 1.98
F: 0.7512 0.7504 0.5016  2 Ga 1.98
F: 0.9992 0.2488 0.7504  2 Ga 1.98


# 12
Material: BaPtW
Method: DFT, PBE
State: relaxed

Results
Crystal system: monoclinic
Energy above the lowest structure with this stoichiometry (meV/atom): 146.9
Total moment (μB per formula unit): 0.0

Cell lengths 5.2840, 4.6533, 6.5057 Å; angles 90.00, 110.22, 90.00 degrees
Last column: nearest neighbours and their distance in Å.
Sites, in units of the cell vectors:
Ba: 0.0000 0.0000 0.0000  5 Pt 3.34-3.73, 4 Ba 3.43-3.63, 2 W 3.71
Ba: 0.4910 0.5000 0.0403  4 W 3.19-3.56, 2 Ba 3.43, 4 Pt 3.50-3.55
Pt: 0.3619 0.0000 0.6037  4 W 2.68-2.77, 2 Pt 2.79-2.80
Pt: 0.7984 0.0000 0.4529  4 W 2.68-2.77, 2 Pt 2.79-2.80
W: 0.0971 0.5000 0.5046  2 W 2.65-2.67, 4 Pt 2.68-2.77
W: 0.6209 0.5000 0.5573  2 W 2.65-2.67, 4 Pt 2.68-2.77


Question: Which formula does entry 8 have?
Answer: LuSnHg


Question: Which value of total moment does entry 1 give?
Answer: 0.0 μB per formula unit